A relaxed HoSi2Au3 crystal, computed with PBE-GGA. Values from VASP.

Output
The formation energy without anion corrections is -0.460 eV per atom. The spin magnetization comes out at 0.00 Bohr magnetons per cell. For the density of states at the Fermi level, the calculation gives 2.4 states/eV/f.u. Its raw total energy is -4.670 eV/atom. For the theoretical density, the calculation gives 11.80 g/cm3.

```
&SYSTEM
  ibrav = 0, nat = 12, ntyp = 3
/
ATOMIC_SPECIES
Ho 164.93 Ho.upf
Si 28.09 Si.upf
Au 196.97 Au.upf
CELL_PARAMETERS angstrom
4.1698 0.0000 -1.1862
-0.9094 6.6039 -3.1970
0.0848 0.1090 8.2203
ATOMIC_POSITIONS angstrom
Ho 2.7843 6.1870 1.8657
Ho 0.5608 0.5259 1.9714
Si 3.1480 2.0504 3.1440
Si 1.9705 1.0815 -0.9953
Si 0.1972 4.6625 0.6931
Si 1.3747 5.6314 4.8324
Au 3.4794 4.3278 4.3091
Au -0.1342 2.3851 -0.4719
Au 1.9711 5.1022 -0.9933
Au 0.8386 4.0120 2.9481
Au 1.3741 1.6107 4.8304
Au 2.5065 2.7009 0.8890
```